The following is a DFT calculation (PBE) of crystalline HoGa3Ir at its relaxed geometry.

a = 4.046 Å, b = 5.309 Å, c = 5.225 Å
α = 120.54°, β = 90.00°, γ = 90.00°
Sites, in units of the cell vectors:
Ga1 0.500 0.598 0.196
Ga2 0.000 0.434 0.390
Ir1 0.000 0.435 0.870
Ho1 0.500 0.931 0.863
Ga3 0.000 0.957 0.390

Values from the calculation:
ΔE to the lowest computed polymorph	235	meV/atom
SG	Amm2, No. 38
DFT formation energy	-0.44	eV per atom
D(E_F)	0.485	states/eV/atom
electronic total energy	-24.710	eV/cell
total magnetic moment	0.00	μB/f.u.

***

The following is a DFT calculation (PBE) of crystalline HoGa3Ir3 at its relaxed geometry.

a = 6.740 Å, b = 6.740 Å, c = 6.740 Å
α = 90.00°, β = 90.00°, γ = 90.00°
Sites, in units of the cell vectors:
Ga1 0.750 0.500 0.000
Ga2 0.250 0.500 0.000
Ir1 0.250 0.000 0.500
Ga3 0.500 0.000 0.750
Ga4 0.000 0.750 0.500
Ga5 0.500 0.000 0.250
Ir2 0.500 0.750 0.000
Ho1 0.500 0.500 0.500
Ir3 0.000 0.500 0.250
Ir4 0.000 0.500 0.750
Ir5 0.500 0.250 0.000
Ho2 0.000 0.000 0.000
Ga6 0.000 0.250 0.500
Ir6 0.750 0.000 0.500

Values from the calculation:
SG	Pm-3n, No. 223
DFT formation energy	0.09	eV per atom
D(E_F)	0.675	states/eV/atom
electronic total energy	-79.266	eV/cell
total magnetic moment	0.00	μB/f.u.

***

- Look up the electronic total energy of the first one.
  -24.710 eV/cell

***

- Among the records above, which one has the highest electronic total energy?
  HoGa3Ir

***

- What is the D(E_F) in the second record?
  0.675 states/eV/atom